[1]
DFT (GGA-PBE) results for crystalline KHgPt2 at its relaxed geometry.

V: 28.67 Å³ per atom
symmetry: Cm, No. 8
ΔH_f (0 K): -0.048 eV/atom

```
KHgPt2
1.0
6.883 -1.445 0.000
6.883 1.445 0.000
-0.037 0.000 5.766
K Hg Pt
1 1 2
Direct
0.000 0.000 0.000 K
0.233 0.233 0.500 Hg
0.563 0.563 0.501 Pt
0.903 0.903 0.499 Pt
```



[2]
DFT (GGA-PBE) results for crystalline BiPd2O4 at its relaxed geometry.

V: 15.89 Å³ per atom
symmetry: P4/nmm, No. 129
E above lowest polymorph: 105 kJ/mol of formula units
uncorrected formation energy: -0.588 eV per atom

```
BiPd2O4
1.0
6.893 0.000 0.000
0.000 6.893 0.000
0.000 0.000 4.683
Bi Pd O
2 4 8
Direct
0.250 0.250 0.024 Bi
0.750 0.750 0.976 Bi
0.000 0.000 0.500 Pd
0.000 0.500 0.500 Pd
0.500 0.000 0.500 Pd
0.500 0.500 0.500 Pd
0.023 0.750 0.716 O
0.250 0.523 0.284 O
0.250 0.977 0.284 O
0.477 0.750 0.716 O
0.523 0.250 0.284 O
0.750 0.023 0.716 O
0.750 0.477 0.716 O
0.977 0.250 0.284 O
```



[3]
DFT (GGA-PBE) results for crystalline Ca2InCl at its relaxed geometry.

V: 29.93 Å³ per atom
symmetry: Pmmm, No. 47
E above lowest polymorph: 0 kJ/mol of formula units
uncorrected formation energy: -1.078 eV per atom

```
Ca2InCl
1.0
3.674 0.000 0.000
0.000 3.914 0.000
0.000 0.000 8.325
Ca In Cl
2 1 1
Direct
0.000 0.000 0.234 Ca
0.000 0.000 0.766 Ca
0.500 0.500 0.000 In
0.500 0.000 0.500 Cl
```



- Number 3 is which compound?
  Ca2InCl



- The highest V belongs to which entry?
  Ca2InCl